Record 1
# GGA-PBE Rb2TcGeO6, relaxed
# Total magnetic moment = 1.94 μB per cell
# Formation energy (no corrections) = -1.323 eV/atom
data_Rb2TcGeO6
_cell_length_a 5.599
_cell_length_b 5.599
_cell_length_c 7.896
_cell_angle_alpha 90.00
_cell_angle_beta 90.00
_cell_angle_gamma 90.00
_symmetry_space_group_name_H-M 'I 4/m m m'
_symmetry_Int_Tables_number 139
_symmetry_space_group_name_Hall '-I 4 2'
loop_
_atom_site_label
_atom_site_fract_x
_atom_site_fract_y
_atom_site_fract_z
Rb1 0.000 0.500 0.250
Tc1 0.000 0.000 0.000
Ge1 0.000 0.000 0.500
O1 0.000 0.000 0.251
O2 0.248 0.248 0.000


Record 2
# GGA-PBE RbGe2TeO6, relaxed
# Total magnetic moment = 0.00 μB per cell
# Formation energy (no corrections) = -1.345 eV/atom
data_RbGe2TeO6
_cell_length_a 11.138
_cell_length_b 10.582
_cell_length_c 5.851
_cell_angle_alpha 90.00
_cell_angle_beta 105.10
_cell_angle_gamma 90.00
_symmetry_space_group_name_H-M 'C 1 2/c 1'
_symmetry_Int_Tables_number 15
loop_
_symmetry_equiv_pos_as_xyz
'x,y,z'
'-x,-y,-z'
'-x,y,-z+1/2'
'x,-y,z+1/2'
'x+1/2,y+1/2,z'
'-x+1/2,-y+1/2,-z'
'-x+1/2,y+1/2,-z+1/2'
'x+1/2,-y+1/2,z+1/2'
loop_
_atom_site_label
_atom_site_fract_x
_atom_site_fract_y
_atom_site_fract_z
Rb1 0.000 0.177 0.250
Ge1 0.214 0.086 0.820
Te1 0.000 0.367 0.750
O1 0.123 0.397 0.110
O2 0.127 0.230 0.727
O3 0.160 0.014 0.058


Record 3
# GGA-PBE RbGeTeO6, relaxed
# Total magnetic moment = 2.15 μB per cell
# Formation energy (no corrections) = -1.210 eV/atom
data_RbGeTeO6
_cell_length_a 5.1668
_cell_length_b 5.1668
_cell_length_c 12.9937
_cell_angle_alpha 90.00
_cell_angle_beta 90.00
_cell_angle_gamma 120.00
_symmetry_space_group_name_H-M 'P -3 1 c'
_symmetry_Int_Tables_number 163
_symmetry_space_group_name_Hall '-P 3 2c'
loop_
_atom_site_label
_atom_site_fract_x
_atom_site_fract_y
_atom_site_fract_z
Rb1 0.0000 0.0000 0.0000
Ge1 0.3333 0.6667 0.2500
Te1 0.3333 0.6667 0.7500
O1 0.0035 0.3831 0.1660


Record 4
# GGA-PBE RbGe2TeO8, relaxed
# Total magnetic moment = 2.07 μB per cell
# Formation energy (no corrections) = -1.254 eV/atom
data_RbGe2TeO8
_cell_length_a 8.434
_cell_length_b 5.589
_cell_length_c 8.074
_cell_angle_alpha 90.00
_cell_angle_beta 104.98
_cell_angle_gamma 90.00
_symmetry_space_group_name_H-M 'C 1 2/m 1'
_symmetry_Int_Tables_number 12
loop_
_symmetry_equiv_pos_as_xyz
'x,y,z'
'-x,-y,-z'
'-x,y,-z'
'x,-y,z'
'x+1/2,y+1/2,z'
'-x+1/2,-y+1/2,-z'
'-x+1/2,y+1/2,-z'
'x+1/2,-y+1/2,z'
loop_
_atom_site_label
_atom_site_fract_x
_atom_site_fract_y
_atom_site_fract_z
Rb1 0.000 0.000 0.000
Ge1 0.093 0.500 0.296
Te1 0.000 0.000 0.500
O1 0.028 0.242 0.681
O2 0.130 0.500 0.093
O3 0.233 0.000 0.523


Record 5
# GGA-PBE RbThGeO5, relaxed
# Total magnetic moment = 2.39 μB per cell
# Formation energy (no corrections) = -2.263 eV/atom
data_RbThGeO5
_cell_length_a 7.683
_cell_length_b 10.185
_cell_length_c 8.410
_cell_angle_alpha 90.00
_cell_angle_beta 114.47
_cell_angle_gamma 90.00
_symmetry_space_group_name_H-M 'C 1 2/c 1'
_symmetry_Int_Tables_number 15
loop_
_symmetry_equiv_pos_as_xyz
'x,y,z'
'-x,-y,-z'
'-x,y,-z+1/2'
'x,-y,z+1/2'
'x+1/2,y+1/2,z'
'-x+1/2,-y+1/2,-z'
'-x+1/2,y+1/2,-z+1/2'
'x+1/2,-y+1/2,z+1/2'
loop_
_atom_site_label
_atom_site_fract_x
_atom_site_fract_y
_atom_site_fract_z
Rb1 0.000 0.168 0.250
Th1 0.000 0.500 0.000
Ge1 0.000 0.186 0.750
O1 0.000 0.443 0.250
O2 0.080 0.289 0.621
O3 0.187 0.080 0.886


Record 6
# GGA-PBE Rb2ThGe2O6, relaxed
# Total magnetic moment = 0.00 μB per cell
# Formation energy (no corrections) = -2.256 eV/atom
data_Rb2ThGe2O6
_cell_length_a 10.647
_cell_length_b 6.172
_cell_length_c 7.294
_cell_angle_alpha 90.00
_cell_angle_beta 121.60
_cell_angle_gamma 90.00
_symmetry_space_group_name_H-M 'C 1 2/m 1'
_symmetry_Int_Tables_number 12
loop_
_symmetry_equiv_pos_as_xyz
'x,y,z'
'-x,-y,-z'
'-x,y,-z'
'x,-y,z'
'x+1/2,y+1/2,z'
'-x+1/2,-y+1/2,-z'
'-x+1/2,y+1/2,-z'
'x+1/2,-y+1/2,z'
loop_
_atom_site_label
_atom_site_fract_x
_atom_site_fract_y
_atom_site_fract_z
Rb1 0.215 0.000 0.189
Th1 0.000 0.000 0.500
Ge1 0.050 0.500 0.195
O1 0.014 0.263 0.738
O2 0.247 0.500 0.338


Record 7
# GGA-PBE RbTiGe2O, relaxed
# Total magnetic moment = 0.00 μB per cell
# Formation energy (no corrections) = 0.670 eV/atom
data_RbTiGe2O
_cell_length_a 4.800
_cell_length_b 4.800
_cell_length_c 8.397
_cell_angle_alpha 90.00
_cell_angle_beta 90.00
_cell_angle_gamma 90.00
_symmetry_space_group_name_H-M 'P 4/m m m'
_symmetry_Int_Tables_number 123
_symmetry_space_group_name_Hall '-P 4 2'
loop_
_atom_site_label
_atom_site_fract_x
_atom_site_fract_y
_atom_site_fract_z
Rb1 0.000 0.000 0.000
Ti1 0.000 0.000 0.500
Ge1 0.000 0.500 0.500
O1 0.500 0.500 0.000


Record 8
# GGA-PBE RbTlGeO3, relaxed
# Total magnetic moment = 0.00 μB per cell
# Formation energy (no corrections) = -1.408 eV/atom
data_RbTlGeO3
_cell_length_a 6.805
_cell_length_b 13.045
_cell_length_c 5.369
_cell_angle_alpha 90.00
_cell_angle_beta 103.05
_cell_angle_gamma 90.00
_symmetry_space_group_name_H-M 'C 1 2/c 1'
_symmetry_Int_Tables_number 15
loop_
_symmetry_equiv_pos_as_xyz
'x,y,z'
'-x,-y,-z'
'-x,y,-z+1/2'
'x,-y,z+1/2'
'x+1/2,y+1/2,z'
'-x+1/2,-y+1/2,-z'
'-x+1/2,y+1/2,-z+1/2'
'x+1/2,-y+1/2,z+1/2'
loop_
_atom_site_label
_atom_site_fract_x
_atom_site_fract_y
_atom_site_fract_z
Rb1 0.000 0.100 0.250
Tl1 0.000 0.287 0.750
Ge1 0.000 0.455 0.250
O1 0.000 0.320 0.250
O2 0.173 0.466 0.984